# 1
Computed, not measured: crystalline DyCoNO at its relaxed geometry at the PBE+U level of DFT.

Lattice parameters (Å, degrees): 3.7139 3.7139 7.0731 90.00 90.00 90.00
Closest atoms and distances in Å follow each position.
Space group P4/nmm (No. 129, origin choice 2)
Inequivalent atoms, fractional coordinates:
1 Dy 0.2500 0.2500 0.1653 [2 per cell]  4 O 2.19
2 Co 0.2500 0.7500 0.5000 [2 per cell]  4 N 1.95
3 N 0.2500 0.2500 0.5861 [2 per cell]  4 Co 1.95
4 O 0.2500 0.7500 0.0000 [2 per cell]  4 Dy 2.19

Crystal system ... tetragonal
Electronic total energy ... -7.071 eV per atom
Total magnetic moment ... 0.250 μB/atom
Energy above the lowest structure with this stoichiometry ... 5.3 kJ per mole of atoms

---

# 2
Computed, not measured: crystalline DyCoNO at its relaxed geometry at the PBE+U level of DFT.

Lattice parameters (Å, degrees): 3.3716 3.3716 4.3387 90.00 90.00 90.00
Closest atoms and distances in Å follow each position.
Space group P4/mmm (No. 123)
Inequivalent atoms, fractional coordinates:
1 Dy 0.0000 0.0000 0.0000 [1 per cell]  2 O 2.17, 4 N 2.38
2 Co 0.5000 0.5000 0.5000 [1 per cell]  2 N 2.17, 4 O 2.38
3 N 0.5000 0.5000 0.0000 [1 per cell]  2 Co 2.17, 4 Dy 2.38
4 O 0.0000 0.0000 0.5000 [1 per cell]  2 Dy 2.17, 4 Co 2.38

Crystal system ... tetragonal
Electronic total energy ... -7.010 eV per atom
Total magnetic moment ... 0.739 μB/atom
Energy above the lowest structure with this stoichiometry ... 11.2 kJ per mole of atoms

---

# 3
Computed, not measured: crystalline DyCoNO at its relaxed geometry at the PBE+U level of DFT.

Lattice parameters (Å, degrees): 3.7158 6.0393 4.9216 90.00 90.00 90.00
Closest atoms and distances in Å follow each position.
Space group Pmc2_1 (No. 26)
Inequivalent atoms, fractional coordinates:
1 Dy 0.0000 0.1964 0.0000 [2 per cell]  2 O 2.15, 2 N 2.26-2.39
2 Co 0.5000 0.3077 0.5186 [2 per cell]  2 O 1.98-2.12, 2 N 2.02
3 N 0.0000 0.1782 0.4842 [2 per cell]  2 Co 2.02, 1 Dy 2.26
4 O 0.5000 0.3701 0.9418 [2 per cell]  2 Co 1.98-2.12, 2 Dy 2.15

Crystal system ... orthorhombic
Electronic total energy ... -7.126 eV per atom
Total magnetic moment ... 0.750 μB/atom
Energy above the lowest structure with this stoichiometry ... 0.0 kJ per mole of atoms

---

Look up the energy above the lowest structure with this stoichiometry of the first one. 5.3 kJ per mole of atoms

---

Copy entry 3 word for word.
Computed, not measured: crystalline DyCoNO at its relaxed geometry at the PBE+U level of DFT.

Lattice parameters (Å, degrees): 3.7158 6.0393 4.9216 90.00 90.00 90.00
Closest atoms and distances in Å follow each position.
Space group Pmc2_1 (No. 26)
Inequivalent atoms, fractional coordinates:
1 Dy 0.0000 0.1964 0.0000 [2 per cell]  2 O 2.15, 2 N 2.26-2.39
2 Co 0.5000 0.3077 0.5186 [2 per cell]  2 O 1.98-2.12, 2 N 2.02
3 N 0.0000 0.1782 0.4842 [2 per cell]  2 Co 2.02, 1 Dy 2.26
4 O 0.5000 0.3701 0.9418 [2 per cell]  2 Co 1.98-2.12, 2 Dy 2.15

Crystal system ... orthorhombic
Electronic total energy ... -7.126 eV per atom
Total magnetic moment ... 0.750 μB/atom
Energy above the lowest structure with this stoichiometry ... 0.0 kJ per mole of atoms

---

Look up the total magnetic moment of the third one. 0.750 μB/atom

---

What is the formula in the second record? DyCoNO